(1)
La2MgAg6: optimized geometry, GGA-PBE.

## Properties
* total magnetization: 0.000 μB per atom
* ΔE_f: -0.21 eV/atom

abc: 6.3851 6.3851 5.9069
angles: 90.00 90.00 120.00
Space group P-3m1 (No. 164)
One atom of each set of equivalent atoms:
La: 0.3333 0.6667 0.1605 [2 per cell]
Mg: 0.0000 0.0000 0.0000 [1 per cell]
Ag: 0.1816 0.3631 0.6729 [6 per cell]

(2)
LaMg2Ag: optimized geometry, GGA-PBE.

## Properties
* total magnetization: 0.000 μB per atom
* ΔE_f: -0.06 eV/atom

abc: 10.026 3.307 6.306
angles: 90.00 101.27 90.00
Space group Cm (No. 8)
One atom of each set of equivalent atoms:
La: 0.000 0.000 0.000 [2 per cell]
Mg: 0.231 0.000 0.669 [2 per cell]
Mg: 0.482 0.000 0.481 [2 per cell]
Ag: 0.252 0.500 0.294 [2 per cell]

(3)
LaMg12Ag6: optimized geometry, GGA-PBE.

## Properties
* total magnetization: 0.000 μB per atom
* ΔE_f: -0.12 eV/atom

abc: 12.4684 12.4684 9.4859
angles: 90.00 90.00 120.00
Space group R-3m (No. 166, hexagonal axes)
One atom of each set of equivalent atoms:
La: 0.0000 0.0000 0.0000 [3 per cell]
Mg: 0.0000 0.3827 0.5000 [18 per cell]
Mg: 0.0858 0.1716 0.3297 [18 per cell]
Ag: 0.0389 0.5194 0.2543 [18 per cell]

(4)
La2MgAg2: optimized geometry, GGA-PBE.

## Properties
* total magnetization: 0.000 μB per atom
* ΔE_f: -0.05 eV/atom
* energy above the most stable polymorph in this dataset: 0.209 eV per atom

abc: 5.971 5.971 8.427
angles: 90.00 90.00 90.00
Space group I4/mmm (No. 139)
One atom of each set of equivalent atoms:
La: 0.000 0.500 0.250 [4 per cell]
Mg: 0.000 0.000 0.000 [2 per cell]
Ag: 0.000 0.000 0.345 [4 per cell]